(1)
! GGA-PBEsol LaTc2Cl, relaxed; values from VASP
! ρ, g/cm3: 7.86
! Energy relative to the elements, uncorrected, kJ/mol of formula units: 54
! Crystal system: tetragonal
! Raw total energy, Ry per atom: -0.5388
! D(E_F), states/eV/f.u.: 4.487
&SYSTEM
  ibrav = 0, nat = 4, ntyp = 3
/
ATOMIC_SPECIES
Cl 35.45 Cl.upf
La 138.91 La.upf
Tc 98.00 Tc.upf
CELL_PARAMETERS angstrom
-1.044 -1.095 -3.374
3.150 -1.903 -0.357
-2.525 -4.607 2.276
ATOMIC_POSITIONS crystal
Cl 0.500 0.500 0.500
La 0.000 0.000 0.500
Tc 0.500 0.000 0.000
Tc 0.000 0.500 0.000

(2)
! GGA-PBEsol La3TcCl, relaxed; values from VASP
! ρ, g/cm3: 5.70
! Energy relative to the elements, uncorrected, kJ/mol of formula units: -78
! Crystal system: cubic
! Raw total energy, Ry per atom: -0.4427
! D(E_F), states/eV/f.u.: 7.426
&SYSTEM
  ibrav = 0, nat = 5, ntyp = 3
/
ATOMIC_SPECIES
La 138.91 La.upf
Cl 35.45 Cl.upf
Tc 98.00 Tc.upf
CELL_PARAMETERS angstrom
-5.284 -0.056 -1.257
0.568 -4.949 -2.167
-1.123 -2.239 4.820
ATOMIC_POSITIONS crystal
La 0.000 0.500 0.000
La 0.000 0.000 0.500
La 0.500 0.000 0.000
Cl 0.500 0.500 0.500
Tc 0.000 0.000 0.000

(3)
! GGA-PBEsol LaTcCl, relaxed; values from VASP
! ρ, g/cm3: 7.08
! Energy relative to the elements, uncorrected, kJ/mol of formula units: 27
! Crystal system: tetragonal
! Raw total energy, Ry per atom: -0.4493
! D(E_F), states/eV/f.u.: 1.720
&SYSTEM
  ibrav = 0, nat = 3, ntyp = 3
/
ATOMIC_SPECIES
Cl 35.45 Cl.upf
La 138.91 La.upf
Tc 98.00 Tc.upf
CELL_PARAMETERS angstrom
3.219 0.000 0.000
0.000 3.219 0.000
-1.609 -1.610 6.164
ATOMIC_POSITIONS crystal
Cl 0.002 0.002 0.003
La 0.333 0.333 0.666
Tc 0.665 0.665 0.331

(4)
! GGA-PBEsol LaTc2Cl, relaxed; values from VASP
! ρ, g/cm3: 8.95
! Energy relative to the elements, uncorrected, kJ/mol of formula units: 360
! Crystal system: cubic
! Raw total energy, Ry per atom: -0.4806
! D(E_F), states/eV/f.u.: 6.650
&SYSTEM
  ibrav = 0, nat = 4, ntyp = 3
/
ATOMIC_SPECIES
Tc 98.00 Tc.upf
Cl 35.45 Cl.upf
La 138.91 La.upf
CELL_PARAMETERS angstrom
-2.012 -2.015 -3.609
-3.959 -2.273 0.547
-3.899 1.727 -1.719
ATOMIC_POSITIONS crystal
Tc 0.750 0.750 0.750
Tc 0.250 0.250 0.250
Cl 0.000 0.000 0.000
La 0.500 0.500 0.500

(5)
! GGA-PBEsol LaTc2Cl, relaxed; values from VASP
! ρ, g/cm3: 6.70
! Energy relative to the elements, uncorrected, kJ/mol of formula units: 210
! Crystal system: tetragonal
! Raw total energy, Ry per atom: -0.5092
! D(E_F), states/eV/f.u.: 3.892
&SYSTEM
  ibrav = 0, nat = 4, ntyp = 3
/
ATOMIC_SPECIES
Cl 35.45 Cl.upf
La 138.91 La.upf
Tc 98.00 Tc.upf
CELL_PARAMETERS angstrom
3.993 0.000 0.000
0.000 3.993 0.000
0.000 0.000 5.760
ATOMIC_POSITIONS crystal
Cl 0.500 0.500 0.000
La 0.500 0.500 0.500
Tc 0.000 0.000 0.682
Tc 0.000 0.000 0.318

(6)
! GGA-PBEsol LaTcTeCl2, relaxed; values from VASP
! ρ, g/cm3: 6.11
! Energy relative to the elements, uncorrected, kJ/mol of formula units: -286
! Crystal system: tetragonal
! Raw total energy, Ry per atom: -0.3987
! D(E_F), states/eV/f.u.: 4.162
&SYSTEM
  ibrav = 0, nat = 5, ntyp = 4
/
ATOMIC_SPECIES
La 138.91 La.upf
Te 127.60 Te.upf
Tc 98.00 Tc.upf
Cl 35.45 Cl.upf
CELL_PARAMETERS angstrom
-3.180 -0.143 -3.449
0.258 -4.686 -0.043
-3.940 -0.250 3.643
ATOMIC_POSITIONS crystal
La 0.500 0.500 0.500
Te 0.000 0.000 0.500
Tc 0.000 0.000 0.000
Cl 0.000 0.500 0.000
Cl 0.500 0.000 0.000

(7)
! GGA-PBEsol LaTeCl2, relaxed; values from VASP
! ρ, g/cm3: 4.97
! Energy relative to the elements, uncorrected, kJ/mol of formula units: -536
! Crystal system: tetragonal
! Raw total energy, Ry per atom: -0.3390
! D(E_F), states/eV/f.u.: 2.071
&SYSTEM
  ibrav = 0, nat = 8, ntyp = 3
/
ATOMIC_SPECIES
Te 127.60 Te.upf
La 138.91 La.upf
Cl 35.45 Cl.upf
CELL_PARAMETERS angstrom
-2.101 0.506 -4.266
3.970 -1.585 -2.143
-4.318 -8.705 3.775
ATOMIC_POSITIONS crystal
Te 0.750 0.250 0.500
Te 0.500 0.500 0.000
La 0.250 0.750 0.500
La 0.000 0.000 0.000
Cl 0.125 0.081 0.750
Cl 0.625 0.669 0.750
Cl 0.331 0.875 0.250
Cl 0.919 0.375 0.250

(8)
! GGA-PBEsol LaTeCl2, relaxed; values from VASP
! ρ, g/cm3: 5.66
! Energy relative to the elements, uncorrected, kJ/mol of formula units: -545
! Crystal system: tetragonal
! Raw total energy, Ry per atom: -0.3407
! D(E_F), states/eV/f.u.: 2.406
&SYSTEM
  ibrav = 0, nat = 4, ntyp = 3
/
ATOMIC_SPECIES
Te 127.60 Te.upf
La 138.91 La.upf
Cl 35.45 Cl.upf
CELL_PARAMETERS angstrom
-1.515 -1.670 -4.083
1.124 -4.321 1.350
-3.966 2.464 3.127
ATOMIC_POSITIONS crystal
Te 0.000 0.000 0.000
La 0.500 0.500 0.000
Cl 0.250 0.750 0.500
Cl 0.750 0.250 0.500

Among the records above, which one has the highest D(E_F)? La3TcCl

Copy entry 3 word for word.
! GGA-PBEsol LaTcCl, relaxed; values from VASP
! ρ, g/cm3: 7.08
! Energy relative to the elements, uncorrected, kJ/mol of formula units: 27
! Crystal system: tetragonal
! Raw total energy, Ry per atom: -0.4493
! D(E_F), states/eV/f.u.: 1.720
&SYSTEM
  ibrav = 0, nat = 3, ntyp = 3
/
ATOMIC_SPECIES
Cl 35.45 Cl.upf
La 138.91 La.upf
Tc 98.00 Tc.upf
CELL_PARAMETERS angstrom
3.219 0.000 0.000
0.000 3.219 0.000
-1.609 -1.610 6.164
ATOMIC_POSITIONS crystal
Cl 0.002 0.002 0.003
La 0.333 0.333 0.666
Tc 0.665 0.665 0.331